1.
{"formula": "Y2TmMg3Tl2Cd", "functional": "GGA-PBE", "state": "relaxed", "total_energy_ev_per_atom": -3.404, "lattice": [[4.605, 0.000, 0.000], [0.000, 6.511, 3.782], [0.000, -6.511, 3.782]], "species": ["Y", "Y", "Tm", "Mg", "Mg", "Mg", "Tl", "Tl", "Cd"], "frac_coords": [[0.000, 0.214, 0.786], [0.000, 0.786, 0.214], [0.000, 0.641, 0.641], [0.500, 0.215, 0.455], [0.500, 0.455, 0.215], [0.500, 0.975, 0.975], [0.500, 0.548, 0.879], [0.500, 0.879, 0.548], [0.000, 0.218, 0.218]]}

2.
{"formula": "GdTm3Pb2C2", "functional": "GGA-PBE", "state": "relaxed", "total_energy_ev_per_atom": -6.005, "lattice": [[3.609, 0.000, 0.000], [-1.805, 3.126, 0.000], [0.000, 0.000, 15.984]], "species": ["Gd", "Tm", "Tm", "Tm", "Pb", "Pb", "C", "C"], "frac_coords": [[0.000, 0.000, 0.000], [0.000, 0.000, 0.337], [0.333, 0.667, 0.499], [0.333, 0.667, 0.833], [0.000, 0.000, 0.666], [0.333, 0.667, 0.172], [0.667, 0.333, 0.418], [0.667, 0.333, 0.914]]}

3.
{"formula": "DyHo2Ag4Sn4", "functional": "GGA-PBE", "state": "relaxed", "total_energy_ev_per_atom": -4.209, "lattice": [[-2.277, 3.669, 7.614], [2.277, -3.669, 7.614], [2.277, 3.669, -7.614]], "species": ["Dy", "Ho", "Ho", "Ag", "Ag", "Ag", "Ag", "Sn", "Sn", "Sn", "Sn"], "frac_coords": [[0.000, 0.000, 0.000], [0.373, 0.873, 0.500], [0.627, 0.127, 0.500], [0.028, 0.328, 0.700], [0.371, 0.672, 0.700], [0.629, 0.328, 0.300], [0.972, 0.672, 0.300], [0.214, 0.214, 0.000], [0.303, 0.500, 0.803], [0.697, 0.500, 0.197], [0.786, 0.786, 0.000]]}

4.
{"formula": "Tb2Sm3Dy", "functional": "GGA-PBE", "state": "relaxed", "total_energy_ev_per_atom": -4.671, "ef_mev_per_atom": -5, "lattice": [[5.398, -3.113, 0.000], [5.398, 3.113, 0.000], [0.000, 0.000, 11.589]], "species": ["Tb", "Tb", "Tb", "Tb", "Sm", "Sm", "Sm", "Sm", "Sm", "Sm", "Dy", "Dy"], "frac_coords": [[0.001, 0.333, 0.000], [0.333, 0.001, 0.500], [0.667, 0.999, 0.000], [0.999, 0.667, 0.500], [0.001, 0.999, 0.250], [0.333, 0.334, 0.750], [0.334, 0.333, 0.250], [0.666, 0.667, 0.750], [0.667, 0.666, 0.250], [0.999, 0.001, 0.750], [0.334, 0.666, 0.000], [0.666, 0.334, 0.500]]}

5.
{"formula": "Gd3Cd2GaPt2Au", "functional": "GGA-PBE", "state": "relaxed", "total_energy_ev_per_atom": -4.670, "lattice": [[3.874, 0.000, 0.000], [0.000, 6.680, 3.816], [0.000, -6.680, 3.816]], "species": ["Gd", "Gd", "Gd", "Cd", "Cd", "Ga", "Pt", "Pt", "Au"], "frac_coords": [[0.000, 0.000, 0.000], [0.000, 0.175, 0.580], [0.000, 0.580, 0.175], [0.500, 0.585, 0.847], [0.500, 0.847, 0.585], [0.500, 0.319, 0.319], [0.500, 0.254, 0.932], [0.500, 0.932, 0.254], [0.000, 0.564, 0.564]]}

6.
{"formula": "Y3CuC2", "functional": "GGA-PBE", "state": "relaxed", "total_energy_ev_per_atom": -7.113, "lattice": [[3.636, 0.000, 0.000], [-1.818, 3.149, 0.000], [0.000, 0.000, 19.992]], "species": ["Y", "Y", "Y", "Y", "Y", "Y", "Cu", "Cu", "C", "C", "C", "C"], "frac_coords": [[0.000, 0.000, 0.000], [0.000, 0.000, 0.500], [0.333, 0.667, 0.138], [0.333, 0.667, 0.362], [0.667, 0.333, 0.638], [0.667, 0.333, 0.862], [0.000, 0.000, 0.250], [0.000, 0.000, 0.750], [0.333, 0.667, 0.579], [0.333, 0.667, 0.921], [0.667, 0.333, 0.079], [0.667, 0.333, 0.421]]}

7.
{"formula": "PrGe2IrAu", "functional": "GGA-PBE", "state": "relaxed", "total_energy_ev_per_atom": -5.934, "lattice": [[4.432, 0.000, 0.000], [0.000, 4.432, 0.000], [0.000, 0.000, 10.180]], "species": ["Pr", "Pr", "Ge", "Ge", "Ge", "Ge", "Ir", "Ir", "Au", "Au"], "frac_coords": [[0.250, 0.250, 0.242], [0.750, 0.750, 0.758], [0.250, 0.250, 0.648], [0.250, 0.750, 0.000], [0.750, 0.250, 0.000], [0.750, 0.750, 0.352], [0.250, 0.250, 0.885], [0.750, 0.750, 0.115], [0.250, 0.750, 0.500], [0.750, 0.250, 0.500]]}

8.
{"formula": "Cd2ReAs", "functional": "GGA-PBE", "state": "relaxed", "total_energy_ev_per_atom": -3.937, "lattice": [[0.000, 3.312, 3.312], [3.312, 0.000, 3.312], [3.312, 3.312, 0.000]], "species": ["Cd", "Cd", "Re", "As"], "frac_coords": [[0.000, 0.000, 0.000], [0.250, 0.250, 0.250], [0.750, 0.750, 0.750], [0.500, 0.500, 0.500]]}

9.
{"formula": "K4TaBr3", "functional": "GGA-PBE", "state": "relaxed", "total_energy_ev_per_atom": -3.008, "lattice": [[-3.869, 3.869, 7.574], [3.869, -3.869, 7.574], [3.869, 3.869, -7.574]], "species": ["K", "K", "K", "K", "Ta", "Br", "Br", "Br"], "frac_coords": [[0.139, 0.139, 0.554], [0.414, 0.861, 0.000], [0.586, 0.586, 0.446], [0.861, 0.414, 0.000], [0.000, 0.000, 0.000], [0.250, 0.750, 0.500], [0.500, 0.500, 0.000], [0.750, 0.250, 0.500]]}

10.
{"formula": "BaScGa4Pt2", "functional": "GGA-PBE", "state": "relaxed", "total_energy_ev_per_atom": -4.688, "lattice": [[7.083, 0.000, 0.000], [0.000, 2.195, 5.153], [0.000, -2.195, 5.153]], "species": ["Ba", "Sc", "Ga", "Ga", "Ga", "Ga", "Pt", "Pt"], "frac_coords": [[0.000, 0.000, 0.000], [0.500, 0.837, 0.837], [0.214, 0.287, 0.287], [0.318, 0.562, 0.562], [0.682, 0.562, 0.562], [0.786, 0.287, 0.287], [0.000, 0.716, 0.716], [0.500, 0.127, 0.127]]}

11.
{"formula": "SnHgAu2", "functional": "GGA-PBE", "state": "relaxed", "total_energy_ev_per_atom": -2.628, "lattice": [[0.000, 3.514, 3.514], [3.514, 0.000, 3.514], [3.514, 3.514, 0.000]], "species": ["Sn", "Hg", "Au", "Au"], "frac_coords": [[0.000, 0.000, 0.000], [0.250, 0.250, 0.250], [0.500, 0.500, 0.500], [0.750, 0.750, 0.750]]}

12.
{"formula": "YZrCuSn", "functional": "GGA-PBE", "state": "relaxed", "total_energy_ev_per_atom": -5.550, "lattice": [[0.000, 3.536, 3.536], [3.536, 0.000, 3.536], [3.536, 3.536, 0.000]], "species": ["Y", "Zr", "Cu", "Sn"], "frac_coords": [[0.000, 0.000, 0.000], [0.250, 0.250, 0.250], [0.750, 0.750, 0.750], [0.500, 0.500, 0.500]]}